[1]
K2Pd3Se2, relaxed, DFT PBE; E_form (uncorrected) = -481 meV/atom; symmetry = Fddd
1.0
0.000 5.298 19.777
4.279 0.000 19.777
4.279 5.298 0.000
K Pd Se
8 12 8
direct
0.596 0.019 0.442
0.019 0.596 0.943
0.943 0.442 0.019
0.654 0.231 0.808
0.442 0.943 0.596
0.231 0.654 0.307
0.307 0.808 0.231
0.808 0.307 0.654
0.294 0.957 0.448
0.957 0.294 0.300
0.300 0.448 0.957
0.956 0.293 0.802
0.448 0.300 0.294
0.293 0.956 0.950
0.950 0.802 0.293
0.802 0.950 0.956
0.125 0.625 0.625
0.625 0.125 0.625
0.625 0.625 0.625
0.625 0.625 0.125
0.130 0.531 0.408
0.531 0.130 0.931
0.931 0.408 0.531
0.120 0.719 0.842
0.408 0.931 0.130
0.719 0.120 0.319
0.319 0.842 0.719
0.842 0.319 0.120

[2]
K2PdSe2, relaxed, DFT PBE; E_form (uncorrected) = -119 meV/atom; symmetry = P4/mbm
1.0
9.540 0.000 0.000
0.000 9.540 0.000
0.000 0.000 3.029
K Se Pd
4 4 2
direct
0.370 0.870 0.000
0.870 0.630 0.000
0.630 0.130 0.000
0.130 0.370 0.000
0.170 0.670 0.500
0.670 0.830 0.500
0.830 0.330 0.500
0.330 0.170 0.500
0.000 0.000 0.000
0.500 0.500 0.000

[3]
KPd3Se, relaxed, DFT PBE; E_form (uncorrected) = 1351 meV/atom; symmetry = Pm-3m
1.0
4.968 0.000 0.000
0.000 4.968 0.000
0.000 0.000 4.968
K Se Pd
1 1 3
direct
0.000 0.000 0.000
0.500 0.500 0.500
0.000 0.500 0.000
0.000 0.000 0.500
0.500 0.000 0.000

[4]
K2PdSe2, relaxed, DFT PBE; E_form (uncorrected) = -670 meV/atom; symmetry = P4/mbm
1.0
7.064 0.000 0.000
0.000 7.064 0.000
0.000 0.000 5.182
K Se Pd
4 4 2
direct
0.157 0.657 0.500
0.657 0.843 0.500
0.843 0.343 0.500
0.343 0.157 0.500
0.337 0.837 0.000
0.837 0.663 0.000
0.663 0.163 0.000
0.163 0.337 0.000
0.000 0.000 0.000
0.500 0.500 0.000

[5]
KPd5Se8, relaxed, DFT PBE; E_form (uncorrected) = -361 meV/atom; symmetry = Cm
1.0
-3.115 0.869 2.107
-0.660 -8.361 2.474
7.197 3.705 5.575
K Pd Se
1 5 8
direct
0.500 0.500 0.999
0.298 0.672 0.596
0.702 0.328 0.404
0.342 0.021 0.684
0.658 0.979 0.316
0.000 0.000 0.000
0.235 0.150 0.471
0.765 0.850 0.529
0.172 0.492 0.343
0.828 0.508 0.657
0.086 0.826 0.172
0.914 0.174 0.828
0.432 0.834 0.864
0.568 0.167 0.136

[6]
KPd4Se2, relaxed, DFT PBE; E_form (uncorrected) = -386 meV/atom; symmetry = P4_2/mnm
1.0
-0.888 -1.502 3.425
-4.127 -6.219 -3.796
7.024 -4.555 -0.176
K Se Pd
2 4 8
direct
0.500 0.000 0.000
0.000 0.500 0.500
0.000 0.220 0.780
0.000 0.780 0.220
0.500 0.720 0.720
0.500 0.280 0.280
0.000 0.094 0.351
0.000 0.906 0.649
0.500 0.149 0.594
0.500 0.851 0.406
0.500 0.406 0.851
0.500 0.594 0.149
0.000 0.351 0.094
0.000 0.649 0.906

[7]
K2PdSe2, relaxed, DFT PBE; E_form (uncorrected) = -175 meV/atom; symmetry = I4/mmm
1.0
3.898 0.000 0.000
0.000 3.898 0.000
1.949 1.949 9.768
K Se Pd
2 2 1
direct
0.394 0.394 0.212
0.606 0.606 0.788
0.750 0.250 0.500
0.250 0.750 0.500
0.000 0.000 0.000

[8]
K6PdSe20, relaxed, DFT PBE; E_form (uncorrected) = -504 meV/atom; symmetry = Pbcn
1.0
12.755 0.000 0.000
0.000 14.299 0.000
0.000 0.000 19.436
K Pd Se
24 4 80
direct
0.000 0.995 0.750
0.000 0.005 0.250
0.500 0.495 0.750
0.500 0.808 0.750
0.357 0.206 0.995
0.000 0.692 0.250
0.000 0.308 0.750
0.000 0.000 0.000
0.143 0.706 0.995
0.500 0.505 0.250
0.500 0.500 0.000
0.857 0.294 0.005
0.500 0.174 0.750
0.000 0.000 0.500
0.500 0.826 0.250
0.500 0.500 0.500
0.143 0.294 0.495
0.643 0.794 0.005
0.000 0.326 0.250
0.000 0.674 0.750
0.643 0.206 0.505
0.857 0.706 0.505
0.500 0.192 0.250
0.357 0.794 0.495
0.500 0.000 0.500
0.500 0.000 0.000
0.000 0.500 0.500
0.000 0.500 0.000
0.254 0.953 0.880
0.185 0.478 0.161
0.255 0.380 0.711
0.613 0.699 0.603
0.563 0.655 0.875
0.246 0.453 0.880
0.338 0.719 0.128
0.887 0.199 0.603
0.937 0.155 0.875
0.246 0.547 0.380
0.685 0.022 0.839
0.991 0.491 0.873
0.485 0.335 0.877
0.985 0.835 0.623
0.009 0.491 0.627
0.754 0.547 0.120
0.192 0.530 0.496
0.315 0.022 0.661
0.815 0.478 0.339
0.185 0.522 0.661
0.692 0.030 0.004
0.754 0.453 0.620
0.315 0.978 0.161
0.387 0.699 0.897
0.808 0.470 0.504
0.509 0.991 0.873
0.254 0.047 0.380
0.437 0.655 0.625
0.808 0.530 0.004
0.515 0.335 0.623
0.192 0.470 0.996
0.729 0.392 0.171
0.229 0.108 0.829
0.437 0.345 0.125
0.491 0.009 0.127
0.771 0.108 0.671
0.245 0.120 0.211
0.729 0.608 0.671
0.338 0.281 0.628
0.271 0.608 0.829
0.491 0.991 0.627
0.838 0.219 0.372
0.015 0.165 0.377
0.685 0.978 0.339
0.991 0.509 0.373
0.063 0.845 0.125
0.755 0.120 0.289
0.015 0.835 0.877
0.746 0.047 0.120
0.692 0.970 0.504
0.662 0.719 0.372
0.162 0.781 0.628
0.113 0.801 0.397
0.009 0.509 0.127
0.271 0.392 0.329
0.937 0.845 0.375
0.308 0.030 0.496
0.815 0.522 0.839
0.063 0.155 0.625
0.771 0.892 0.171
0.229 0.892 0.329
0.113 0.199 0.897
0.985 0.165 0.123
0.746 0.953 0.620
0.755 0.880 0.789
0.887 0.801 0.103
0.613 0.301 0.103
0.563 0.345 0.375
0.662 0.281 0.872
0.245 0.880 0.711
0.838 0.781 0.872
0.509 0.009 0.373
0.485 0.665 0.377
0.515 0.665 0.123
0.162 0.219 0.128
0.255 0.620 0.211
0.308 0.970 0.996
0.745 0.620 0.289
0.745 0.380 0.789
0.387 0.301 0.397

Question: Which of these has the lowest E_form (uncorrected)?
Answer: number 4

Question: Which value of E_form (uncorrected) does entry 6 give?
Answer: -386 meV/atom